# 1
Material: Cd2SbW
Method: DFT, meta-GGA SCAN
State: single point on PBEsol structure

Space-group type: No. 99

Unit cell a=3.5561 b=3.5561 c=6.1302 alpha=90.00 beta=90.00 gamma=90.00
With the nearest neighbours (Å) after each atom.
Fractional coordinates of all 4 atoms:
Cd: 0.0000 0.0000 0.0000  4 Cd 2.89, 1 Sb 2.89, 4 W 3.00
Cd: 0.5000 0.5000 0.2314  4 Cd 2.89, 2 W 3.05-3.08, 4 Sb 3.11
Sb: 0.0000 0.0000 0.5285  4 W 2.81, 5 Cd 2.89-3.11
W: 0.5000 0.5000 0.7332  4 Sb 2.81, 6 Cd 3.00-3.08

---

# 2
Material: CdSbW2
Method: DFT, meta-GGA SCAN
State: single point on PBEsol structure

Space-group type: No. 65
Energy relative to the lowest polymorph listed for this composition, meV per atom: 328

Unit cell a=5.7336 b=8.4653 c=2.9240 alpha=90.00 beta=90.00 gamma=90.00
With the nearest neighbours (Å) after each atom.
Fractional coordinates of all 8 atoms:
Cd: 0.0000 0.0000 0.0000  2 Sb 2.87, 2 Cd 2.92, 8 W 2.94
Cd: 0.5000 0.5000 0.0000  2 Sb 2.87, 2 Cd 2.92, 8 W 2.94
Sb: 0.0000 0.5000 0.0000  2 Cd 2.87, 2 Sb 2.92, 8 W 2.94
Sb: 0.5000 0.0000 0.0000  2 Cd 2.87, 2 Sb 2.92, 8 W 2.94
W: 0.2500 0.2500 0.5000  4 W 2.87-2.92, 4 Cd 2.94, 4 Sb 2.94
W: 0.2500 0.7500 0.5000  4 W 2.87-2.92, 4 Cd 2.94, 4 Sb 2.94
W: 0.7500 0.2500 0.5000  4 W 2.87-2.92, 4 Cd 2.94, 4 Sb 2.94
W: 0.7500 0.7500 0.5000  4 W 2.87-2.92, 4 Cd 2.94, 4 Sb 2.94

---

Number 1: DOS(E_F) 2.395 states/eV/cell, formation energy without anion corrections 0.514 eV per atom, total moment 0.00 μB per cell. Number 2: DOS(E_F) 7.549 states/eV/cell, formation energy without anion corrections 1.064 eV per atom, total moment 0.00 μB per cell.